Density functional theory data (PBE) for a geometry-optimized Er6As3SeS2 structure.

```
Er6As3SeS2
1.0
-1.396 1.161 3.581
-6.981 -3.581 -1.560
5.333 -6.899 2.063
Er As Se S
6 3 1 2
Direct
0.330 0.914 0.659 Er
0.668 0.582 0.335 Er
0.670 0.086 0.341 Er
0.001 0.259 0.003 Er
0.999 0.741 0.997 Er
0.332 0.418 0.665 Er
0.500 0.500 0.000 As
0.835 0.168 0.670 As
0.165 0.832 0.330 As
0.500 0.000 0.000 Se
0.833 0.667 0.665 S
0.167 0.333 0.335 S
```

Properties
The raw formation energy comes out at -1.730 eV/atom. For the total energy, the calculation gives -73.830 eV/cell.

Density functional theory data (PBE) for a geometry-optimized NbNiB structure.

```
NbNiB
1.0
-1.302 0.112 2.865
-2.917 -2.782 -2.721
3.550 -3.599 0.087
Ni Nb B
2 2 2
Direct
0.244 0.544 0.400 Ni
0.890 0.178 0.006 Ni
0.065 0.717 0.852 Nb
0.579 0.082 0.444 Nb
0.335 0.305 0.767 B
0.576 0.473 0.123 B
```

Properties
Its formation enthalpy at 0 K is -297 meV per atom. For the total energy, the calculation gives -46.842 eV/cell.

Density functional theory data (PBE) for a geometry-optimized K3Os structure.

```
K3Os
1.0
-0.804 -3.843 3.676
1.538 -3.727 -3.560
5.091 0.519 1.656
K Os
3 1
Direct
0.000 0.500 0.500 K
0.500 0.000 0.500 K
0.500 0.500 0.000 K
0.000 0.000 0.000 Os
```

Properties
As for the excess energy over the best structure of this formula in the dataset: 0.1442 eV per atom. Its formation enthalpy at 0 K is 1378 meV per atom. For the total energy, the calculation gives -9.010 eV/cell.

Density functional theory data (PBE) for a geometry-optimized LiAcLa2Hg4 structure.

```
LiAcLa2Hg4
1.0
5.399 0.000 0.000
2.699 4.675 0.000
2.699 1.558 9.162
Li Ac La Hg
1 1 2 4
Direct
0.500 0.500 0.500 Li
0.000 0.000 0.000 Ac
0.758 0.758 0.727 La
0.242 0.242 0.273 La
0.384 0.384 0.849 Hg
0.873 0.873 0.381 Hg
0.127 0.127 0.619 Hg
0.616 0.616 0.151 Hg
```

Properties
Its formation enthalpy at 0 K is -449 meV per atom. For the total energy, the calculation gives -20.678 eV/cell.

Density functional theory data (PBE) for a geometry-optimized YEr2Sc6 structure.

```
YEr2Sc6
1.0
3.393 0.000 0.000
-1.696 2.938 0.000
0.000 0.000 24.335
Y Er Sc
1 2 6
Direct
0.333 0.667 0.000 Y
0.667 0.333 0.328 Er
0.667 0.333 0.672 Er
0.667 0.333 0.886 Sc
0.333 0.667 0.438 Sc
0.333 0.667 0.783 Sc
0.333 0.667 0.217 Sc
0.333 0.667 0.562 Sc
0.667 0.333 0.114 Sc
```

Properties
As for the excess energy over the best structure of this formula in the dataset: 0.0091 eV per atom. Its formation enthalpy at 0 K is 74 meV per atom. For the total energy, the calculation gives -52.911 eV/cell.

Density functional theory data (PBE) for a geometry-optimized NaSr2AlNi structure.

```
NaSr2AlNi
1.0
-4.523 2.721 2.517
0.954 -2.983 4.939
2.881 3.403 1.499
Sr Na Al Ni
2 1 1 1
Direct
0.000 0.500 0.000 Sr
0.500 0.000 0.000 Sr
0.500 0.500 0.500 Na
0.000 0.000 0.500 Al
0.000 0.000 0.000 Ni
```

Properties
Its formation enthalpy at 0 K is -70 meV per atom. For the total energy, the calculation gives -14.555 eV/cell.